# 1
The following is a PBE-GGA calculation of Er6SnIr after structural relaxation, from the Alexandria database.

Output
**Density of states at the Fermi level**: 8.35 states/eV/f.u.
**Formation enthalpy at 0 K**: -1.923 eV/f.u.
**DFT total energy**: -5.271 eV per atom
**Symmetry**: R-3

```
Er6SnIr
1.0
6.783 0.009 0.006
3.384 5.883 0.011
3.379 1.955 6.463
Er Sn Ir
6 1 1
direct
0.042 0.419 0.757
0.781 0.042 0.757
0.958 0.581 0.243
0.219 0.958 0.243
0.581 0.218 0.243
0.419 0.782 0.757
0.500 0.500 0.500
0.000 0.000 0.000
```

=====

# 2
The following is a PBE-GGA calculation of Nd2TmPaAs5 after structural relaxation, from the Alexandria database.

Output
**Density of states at the Fermi level**: 5.22 states/eV/f.u.
**Formation enthalpy at 0 K**: -5.391 eV/f.u.
**DFT total energy**: -5.793 eV per atom
**Symmetry**: P4/mmm

```
Nd2TmPaAs5
1.0
5.096 0.000 0.000
0.000 5.096 0.000
0.000 0.000 10.848
Pa As Nd Tm
1 5 2 1
direct
0.000 0.000 0.500
0.500 0.000 0.500
0.000 0.000 0.755
0.500 0.500 0.000
0.000 0.000 0.245
0.000 0.500 0.500
0.500 0.500 0.726
0.500 0.500 0.274
0.000 0.000 0.000
```

=====

# 3
The following is a PBE-GGA calculation of Pa2CrAu after structural relaxation, from the Alexandria database.

Output
**Density of states at the Fermi level**: 7.28 states/eV/f.u.
**Formation enthalpy at 0 K**: 0.042 eV/f.u.
**DFT total energy**: -7.963 eV per atom
**Symmetry**: P4/mmm
**Energy above the most stable polymorph in this dataset**: 0.000 eV/atom

```
Pa2CrAu
1.0
-1.984 0.902 -2.203
-2.304 -0.006 2.072
1.646 8.153 1.856
Pa Cr Au
2 1 1
direct
0.000 0.000 0.783
0.000 0.000 0.217
0.500 0.500 0.000
0.500 0.500 0.500
```

=====

# 4
The following is a PBE-GGA calculation of CaLa4Os after structural relaxation, from the Alexandria database.

Output
**Density of states at the Fermi level**: 7.84 states/eV/f.u.
**Formation enthalpy at 0 K**: 0.232 eV/f.u.
**DFT total energy**: -5.451 eV per atom
**Symmetry**: C2/c
**Energy above the most stable polymorph in this dataset**: 0.080 eV/atom

```
CaLa4Os
1.0
6.705 -0.671 0.000
-1.852 9.795 0.000
-2.427 -4.562 7.386
Os La Ca
2 8 2
direct
0.833 0.083 0.166
0.167 0.917 0.834
0.724 0.069 0.432
0.208 0.362 0.432
0.792 0.638 0.568
0.276 0.931 0.568
0.073 0.890 0.126
0.927 0.110 0.874
0.553 0.236 0.126
0.447 0.764 0.874
0.337 0.587 0.175
0.663 0.413 0.825
```

=====

# 5
The following is a PBE-GGA calculation of BeNi5 after structural relaxation, from the Alexandria database.

Output
**Density of states at the Fermi level**: 7.90 states/eV/f.u.
**Formation enthalpy at 0 K**: -0.859 eV/f.u.
**DFT total energy**: -5.582 eV per atom
**Symmetry**: P4/mmm
**Energy above the most stable polymorph in this dataset**: 0.000 eV/atom

```
BeNi5
1.0
2.497 0.000 0.000
0.000 2.497 0.000
0.000 0.000 9.816
Ni Be
5 1
direct
0.500 0.500 0.323
0.000 0.000 0.141
0.000 0.000 0.859
0.000 0.000 0.500
0.500 0.500 0.677
0.500 0.500 0.000
```

=====

# 6
The following is a PBE-GGA calculation of YTl2In after structural relaxation, from the Alexandria database.

Output
**Density of states at the Fermi level**: 3.46 states/eV/f.u.
**Formation enthalpy at 0 K**: -0.189 eV/f.u.
**DFT total energy**: -3.531 eV per atom
**Symmetry**: Cmm2

```
YTl2In
1.0
3.433 -0.021 0.000
-1.358 3.153 0.000
0.000 0.000 10.810
Tl Y In
2 1 1
direct
0.500 0.500 0.256
0.000 0.000 0.996
0.000 0.000 0.503
0.500 0.500 0.744
```